Li2PmDy: optimized geometry, PBE.

Cell and atoms, written as extended XYZ:
```
16
Lattice="7.5115 0.0000 0.0000 0.0000 7.5115 0.0000 0.0000 0.0000 7.5115" Properties=species:S:1:pos:R:3 pbc="T T T"
Li 1.8779 1.8779 1.8779
Li 1.8779 1.8779 5.6336
Li 1.8779 5.6336 1.8779
Li 1.8779 5.6336 5.6336
Li 5.6336 1.8779 1.8779
Li 5.6336 1.8779 5.6336
Li 5.6336 5.6336 1.8779
Li 5.6336 5.6336 5.6336
Pm 0.0000 0.0000 0.0000
Pm 0.0000 3.7558 3.7558
Pm 3.7558 0.0000 3.7558
Pm 3.7558 3.7558 0.0000
Dy 0.0000 0.0000 3.7558
Dy 0.0000 3.7558 0.0000
Dy 3.7558 0.0000 0.0000
Dy 3.7558 3.7558 3.7558
```

Results
DFT formation energy: 0.16 eV per atom
Offset from the most stable computed form: 2.4 meV per atom